Pr3Hg: relaxed, PBE.

```
data_Pr3Hg
_cell_length_a 3.774
_cell_length_b 11.648
_cell_length_c 5.871
_cell_angle_alpha 90.00
_cell_angle_beta 90.00
_cell_angle_gamma 90.00
_symmetry_space_group_name_H-M 'I m m 2'
_symmetry_Int_Tables_number 44
loop_
_symmetry_equiv_pos_as_xyz
'x,y,z'
'-x,-y,z'
'-x,y,z'
'x,-y,z'
'x+1/2,y+1/2,z+1/2'
'-x+1/2,-y+1/2,z+1/2'
'-x+1/2,y+1/2,z+1/2'
'x+1/2,-y+1/2,z+1/2'
loop_
_atom_site_label
_atom_site_fract_x
_atom_site_fract_y
_atom_site_fract_z
_atom_site_occupancy
Pr1 0.000 0.000 0.000 1
Pr2 0.000 0.219 0.589 1
Hg1 0.000 0.500 0.957 1
```

Summary:
- E_form: -219 meV/atom
- Calculated total energy: -3.88 eV per atom